(1)
{
  "formula": "Na2PPd3",
  "functional": "PBE-GGA",
  "state": "optimized geometry",
  "total_energy_ev_per_atom": -4.40,
  "spacegroup": "R-3m, No. 166",
  "lattice": [[2.796, 1.614, 3.732], [-2.796, 1.614, 3.732], [0.000, -3.229, 3.732]],
  "species": ["Na", "Na", "P", "Pd", "Pd", "Pd"],
  "fractional_positions": [[0.121, 0.121, 0.121], [0.879, 0.879, 0.879], [0.500, 0.500, 0.500], [0.000, 0.500, 0.500], [0.500, 0.000, 0.500], [0.500, 0.500, 0.000]]
}

---

(2)
{
  "formula": "Na3P2Pd3",
  "functional": "PBE-GGA",
  "state": "optimized geometry",
  "total_energy_ev_per_atom": -4.21,
  "spacegroup": "R-3m, No. 166",
  "lattice": [[2.785, 1.608, 6.053], [-2.785, 1.608, 6.053], [0.000, -3.216, 6.053]],
  "species": ["Na", "Na", "Na", "P", "P", "Pd", "Pd", "Pd"],
  "fractional_positions": [[0.000, 0.000, 0.000], [0.415, 0.415, 0.415], [0.585, 0.585, 0.585], [0.260, 0.260, 0.260], [0.740, 0.740, 0.740], [0.000, 0.000, 0.500], [0.000, 0.500, 0.000], [0.500, 0.000, 0.000]]
}

---

(3)
{
  "formula": "Na2P2Pd",
  "functional": "PBE-GGA",
  "state": "optimized geometry",
  "total_energy_ev_per_atom": -4.20,
  "spacegroup": "P4/mbm, No. 127",
  "lattice": [[6.166, 0.000, 0.000], [0.000, 6.166, 0.000], [0.000, 0.000, 4.723]],
  "species": ["Na", "Na", "Na", "Na", "P", "P", "P", "P", "Pd", "Pd"],
  "fractional_positions": [[0.177, 0.323, 0.000], [0.323, 0.823, 0.000], [0.677, 0.177, 0.000], [0.823, 0.677, 0.000], [0.130, 0.630, 0.500], [0.370, 0.130, 0.500], [0.630, 0.870, 0.500], [0.870, 0.370, 0.500], [0.000, 0.000, 0.500], [0.500, 0.500, 0.500]]
}

---

(4)
{
  "formula": "Na6P2Pd",
  "functional": "PBE-GGA",
  "state": "optimized geometry",
  "total_energy_ev_per_atom": -3.02,
  "spacegroup": "R-3m, No. 166",
  "lattice": [[2.475, 1.429, 9.149], [-2.475, 1.429, 9.149], [0.000, -2.858, 9.149]],
  "species": ["Na", "Na", "Na", "Na", "Na", "Na", "P", "P", "Pd"],
  "fractional_positions": [[0.081, 0.081, 0.081], [0.201, 0.201, 0.201], [0.309, 0.309, 0.309], [0.691, 0.691, 0.691], [0.799, 0.799, 0.799], [0.919, 0.919, 0.919], [0.412, 0.412, 0.412], [0.588, 0.588, 0.588], [0.500, 0.500, 0.500]]
}

---

Repeat the fourth record exactly.
{
  "formula": "Na6P2Pd",
  "functional": "PBE-GGA",
  "state": "optimized geometry",
  "total_energy_ev_per_atom": -3.02,
  "spacegroup": "R-3m, No. 166",
  "lattice": [[2.475, 1.429, 9.149], [-2.475, 1.429, 9.149], [0.000, -2.858, 9.149]],
  "species": ["Na", "Na", "Na", "Na", "Na", "Na", "P", "P", "Pd"],
  "fractional_positions": [[0.081, 0.081, 0.081], [0.201, 0.201, 0.201], [0.309, 0.309, 0.309], [0.691, 0.691, 0.691], [0.799, 0.799, 0.799], [0.919, 0.919, 0.919], [0.412, 0.412, 0.412], [0.588, 0.588, 0.588], [0.500, 0.500, 0.500]]
}

---

- What is the formula in the first record?
  Na2PPd3